# PIrSO GGA-PBE relaxed
# Crystal system = triclinic
# Symmetry = P1
# E_form (uncorrected) = -0.45 eV per atom
# Total energy = -6.28 eV/atom
# N(E_F) = 1.14 states/eV/f.u.
data_PIrSO
_chemical_formula_sum 'P1 Ir1 S1 O1'
_cell_length_a 3.6119
_cell_length_b 3.9107
_cell_length_c 4.5233
_cell_angle_alpha 93.47
_cell_angle_beta 92.46
_cell_angle_gamma 105.86
_space_group_name_H-M_alt 'P 1'
_space_group_IT_number 1
loop_
_space_group_symop_operation_xyz
'x,y,z'
loop_
_atom_site_label
_atom_site_type_symbol
_atom_site_fract_x
_atom_site_fract_y
_atom_site_fract_z
_atom_site_occupancy
P1 P 0.0000 0.0000 0.0000 1
Ir1 Ir 0.3758 0.6112 0.9345 1
S1 S 0.4133 0.4722 0.4378 1
O1 O 0.0347 0.1018 0.3721 1